1.
# DyY2Cu4Pb4 | the Open Quantum Materials Database | PBE | optimized geometry
# Size of the total moment = 0.0 Bohr magnetons per cell
# Total DFT energy (no corrections) = -4.566 eV per atom
data_DyY2Cu4Pb4
_space_group_name_H-M_alt 'I m m m'
_space_group_IT_number 71
_space_group_name_Hall '-I 2 2'
_cell_length_a 4.564
_cell_length_b 7.078
_cell_length_c 15.021
_cell_angle_alpha 90.00
_cell_angle_beta 90.00
_cell_angle_gamma 90.00
loop_
_atom_site_label
_atom_site_fract_x
_atom_site_fract_y
_atom_site_fract_z
_atom_site_occupancy
Dy1 0.000 0.000 0.000 1
Y1 0.000 0.500 0.131 1
Cu1 0.000 0.312 0.329 1
Pb1 0.000 0.000 0.216 1
Pb2 0.000 0.209 0.500 1

---

2.
# Dy2YCu4Pb4 | the Open Quantum Materials Database | PBE | optimized geometry
# Size of the total moment = 0.0 Bohr magnetons per cell
# Total DFT energy (no corrections) = -4.392 eV per atom
data_Dy2YCu4Pb4
_space_group_name_H-M_alt 'I m m m'
_space_group_IT_number 71
_space_group_name_Hall '-I 2 2'
_cell_length_a 4.561
_cell_length_b 7.078
_cell_length_c 15.013
_cell_angle_alpha 90.00
_cell_angle_beta 90.00
_cell_angle_gamma 90.00
loop_
_atom_site_label
_atom_site_fract_x
_atom_site_fract_y
_atom_site_fract_z
_atom_site_occupancy
Dy1 0.000 0.000 0.132 1
Y1 0.000 0.500 0.000 1
Cu1 0.000 0.188 0.329 1
Pb1 0.000 0.292 0.500 1
Pb2 0.000 0.500 0.216 1

---

3.
# Dy4CuPd3 | the Open Quantum Materials Database | PBE | optimized geometry
# Size of the total moment = 0.0 Bohr magnetons per cell
# Energy relative to the elements = -0.77 eV/atom
data_Dy4CuPd3
_space_group_name_H-M_alt 'P 1 m 1'
_space_group_IT_number 6
_cell_length_a 5.580
_cell_length_b 4.504
_cell_length_c 7.047
_cell_angle_alpha 90.00
_cell_angle_beta 90.26
_cell_angle_gamma 90.00
loop_
_space_group_symop_operation_xyz
'x,y,z'
'x,-y,z'
loop_
_atom_site_label
_atom_site_fract_x
_atom_site_fract_y
_atom_site_fract_z
_atom_site_occupancy
Dy1 0.000 0.000 0.000 1
Dy2 0.217 0.000 0.500 1
Dy3 0.501 0.500 0.137 1
Dy4 0.723 0.500 0.634 1
Cu1 0.498 0.000 0.855 1
Pd1 0.013 0.500 0.273 1
Pd2 0.225 0.500 0.782 1
Pd3 0.705 0.000 0.361 1

---

4.
# DyCuSi2Pd | the Open Quantum Materials Database | PBE | optimized geometry
# Size of the total moment = 0.0 Bohr magnetons per cell
# Total DFT energy (no corrections) = -5.644 eV per atom
data_DyCuSi2Pd
_space_group_name_H-M_alt 'I -4 m 2'
_space_group_IT_number 119
_space_group_name_Hall 'I -4 -2'
_cell_length_a 4.040
_cell_length_b 4.040
_cell_length_c 10.087
_cell_angle_alpha 90.00
_cell_angle_beta 90.00
_cell_angle_gamma 90.00
loop_
_atom_site_label
_atom_site_fract_x
_atom_site_fract_y
_atom_site_fract_z
_atom_site_occupancy
Dy1 0.000 0.000 0.000 1
Cu1 0.000 0.500 0.750 1
Si1 0.000 0.000 0.385 1
Pd1 0.000 0.500 0.250 1

---

5.
# Dy2TlCuPd | the Open Quantum Materials Database | PBE | optimized geometry
# Size of the total moment = 0.0 Bohr magnetons per cell
# Total DFT energy (no corrections) = -4.654 eV per atom
data_Dy2TlCuPd
_space_group_name_H-M_alt 'A m m 2'
_space_group_IT_number 38
_cell_length_a 3.684
_cell_length_b 4.154
_cell_length_c 14.647
_cell_angle_alpha 90.00
_cell_angle_beta 90.00
_cell_angle_gamma 90.00
loop_
_space_group_symop_operation_xyz
'x,y,z'
'-x,-y,z'
'-x,y,z'
'x,-y,z'
'x,y+1/2,z+1/2'
'-x,-y+1/2,z+1/2'
'-x,y+1/2,z+1/2'
'x,-y+1/2,z+1/2'
loop_
_atom_site_label
_atom_site_fract_x
_atom_site_fract_y
_atom_site_fract_z
_atom_site_occupancy
Dy1 0.000 0.000 0.000 1
Dy2 0.000 0.000 0.268 1
Tl1 0.500 0.000 0.633 1
Cu1 0.500 0.000 0.439 1
Pd1 0.500 0.000 0.834 1

---

6.
# Pr3DyCu4 | the Open Quantum Materials Database | PBE | optimized geometry
# Size of the total moment = 0.0 Bohr magnetons per cell
# Energy relative to the elements = -0.19 eV/atom
data_Pr3DyCu4
_space_group_name_H-M_alt 'P 1 m 1'
_space_group_IT_number 6
_cell_length_a 5.605
_cell_length_b 4.573
_cell_length_c 7.372
_cell_angle_alpha 90.00
_cell_angle_beta 91.17
_cell_angle_gamma 90.00
loop_
_space_group_symop_operation_xyz
'x,y,z'
'x,-y,z'
loop_
_atom_site_label
_atom_site_fract_x
_atom_site_fract_y
_atom_site_fract_z
_atom_site_occupancy
Pr1 0.000 0.000 0.000 1
Pr2 0.241 0.000 0.495 1
Pr3 0.502 0.500 0.858 1
Dy1 0.740 0.500 0.357 1
Cu1 0.251 0.500 0.214 1
Cu2 0.503 0.000 0.152 1
Cu3 0.751 0.000 0.633 1
Cu4 0.988 0.500 0.703 1

---

7.
# PrDyCu | the Open Quantum Materials Database | PBE | optimized geometry
# Size of the total moment = 0.8 Bohr magnetons per cell
# Energy relative to the elements = 0.12 eV/atom
data_PrDyCu
_space_group_name_H-M_alt 'F -4 3 m'
_space_group_IT_number 216
_space_group_name_Hall 'F -4 2 3'
_cell_length_a 6.823
_cell_length_b 6.823
_cell_length_c 6.823
_cell_angle_alpha 90.00
_cell_angle_beta 90.00
_cell_angle_gamma 90.00
loop_
_atom_site_label
_atom_site_fract_x
_atom_site_fract_y
_atom_site_fract_z
_atom_site_occupancy
Pr1 0.000 0.000 0.000 1
Dy1 0.000 0.000 0.500 1
Cu1 0.250 0.250 0.750 1

---

8.
# PrDy3Cu4 | the Open Quantum Materials Database | PBE | optimized geometry
# Size of the total moment = 0.0 Bohr magnetons per cell
# Energy relative to the elements = -0.24 eV/atom
data_PrDy3Cu4
_space_group_name_H-M_alt 'P 1 m 1'
_space_group_IT_number 6
_cell_length_a 5.448
_cell_length_b 4.513
_cell_length_c 7.196
_cell_angle_alpha 90.00
_cell_angle_beta 90.91
_cell_angle_gamma 90.00
loop_
_space_group_symop_operation_xyz
'x,y,z'
'x,-y,z'
loop_
_atom_site_label
_atom_site_fract_x
_atom_site_fract_y
_atom_site_fract_z
_atom_site_occupancy
Pr1 0.000 0.000 0.000 1
Dy1 0.268 0.500 0.366 1
Dy2 0.499 0.500 0.859 1
Dy3 0.765 0.000 0.501 1
Cu1 0.004 0.500 0.705 1
Cu2 0.263 0.000 0.641 1
Cu3 0.505 0.000 0.153 1
Cu4 0.750 0.500 0.221 1